! BaZrAu3 | the Alexandria database | PBE-GGA | relaxed; values from VASP
! Crystal system: cubic
! Relative energy among the computed polymorphs (eV per atom): 0.000
! DOS at the Fermi energy (states/eV/cell): 4.2
! Symmetry: Pm-3m, No. 221
&SYSTEM
  ibrav = 0, nat = 5, ntyp = 3
/
ATOMIC_SPECIES
Ba 137.33 Ba.upf
Zr 91.22 Zr.upf
Au 196.97 Au.upf
ATOMIC_POSITIONS crystal
Ba 0.000 0.000 0.000
Zr 0.500 0.500 0.500
Au 0.000 0.500 0.500
Au 0.500 0.000 0.500
Au 0.500 0.500 0.000
CELL_PARAMETERS angstrom
5.350 0.000 0.000
0.000 5.350 0.000
0.000 0.000 5.350



! NaSi2Ge | the Alexandria database | PBE-GGA | relaxed; values from VASP
! Crystal system: tetragonal
! DOS at the Fermi energy (states/eV/cell): 5.0
! Symmetry: I-42d, No. 122
! E_form (uncorrected) (eV per atom): 0.28
&SYSTEM
  ibrav = 0, nat = 16, ntyp = 3
/
ATOMIC_SPECIES
Na 22.99 Na.upf
Si 28.09 Si.upf
Ge 72.64 Ge.upf
ATOMIC_POSITIONS crystal
Na 0.000 0.000 0.000
Na 0.000 0.500 0.250
Na 0.500 0.000 0.750
Na 0.500 0.500 0.500
Si 0.195 0.250 0.625
Si 0.250 0.695 0.875
Si 0.250 0.805 0.375
Si 0.305 0.250 0.125
Si 0.695 0.750 0.125
Si 0.750 0.195 0.375
Si 0.750 0.305 0.875
Si 0.805 0.750 0.625
Ge 0.000 0.000 0.500
Ge 0.000 0.500 0.750
Ge 0.500 0.000 0.250
Ge 0.500 0.500 0.000
CELL_PARAMETERS angstrom
7.575 0.000 0.000
0.000 7.575 0.000
0.000 0.000 5.517



! Co2ReMo | the Alexandria database | PBE-GGA | relaxed; values from VASP
! Crystal system: monoclinic
! Relative energy among the computed polymorphs (eV per atom): 0.108
! DOS at the Fermi energy (states/eV/cell): 7.8
! Symmetry: Cm, No. 8
&SYSTEM
  ibrav = 0, nat = 8, ntyp = 3
/
ATOMIC_SPECIES
Co 58.93 Co.upf
Re 186.21 Re.upf
Mo 95.94 Mo.upf
ATOMIC_POSITIONS crystal
Co 0.000 0.000 0.000
Co 0.247 0.500 0.266
Co 0.500 0.500 0.000
Co 0.747 0.000 0.266
Re 0.256 0.000 0.797
Re 0.756 0.500 0.797
Mo 0.495 0.000 0.482
Mo 0.995 0.500 0.482
CELL_PARAMETERS angstrom
8.612 0.000 0.000
0.000 2.636 0.000
-0.725 0.000 4.559



! LiRhAu2 | the Alexandria database | PBE-GGA | relaxed; values from VASP
! Crystal system: trigonal
! Energy (eV/atom): -4.000
! DOS at the Fermi energy (states/eV/cell): 10.0
! Symmetry: R3m, No. 160
&SYSTEM
  ibrav = 0, nat = 12, ntyp = 3
/
ATOMIC_SPECIES
Li 6.94 Li.upf
Rh 102.91 Rh.upf
Au 196.97 Au.upf
ATOMIC_POSITIONS crystal
Li 0.000 0.000 0.000
Li 0.333 0.667 0.667
Li 0.667 0.333 0.333
Rh 0.000 0.000 0.260
Rh 0.333 0.667 0.926
Rh 0.667 0.333 0.593
Au 0.000 0.000 0.508
Au 0.000 0.000 0.747
Au 0.333 0.667 0.175
Au 0.333 0.667 0.414
Au 0.667 0.333 0.081
Au 0.667 0.333 0.841
CELL_PARAMETERS angstrom
2.804 0.000 0.000
-1.402 2.429 0.000
0.000 0.000 28.205



! Sr2ZrPbO6 | the Alexandria database | PBE-GGA | relaxed; values from VASP
! Crystal system: monoclinic
! DOS at the Fermi energy (states/eV/cell): 0.0
! Symmetry: P2_1/c, No. 14
! E_form (uncorrected) (eV per atom): -2.49
&SYSTEM
  ibrav = 0, nat = 20, ntyp = 4
/
ATOMIC_SPECIES
Sr 87.62 Sr.upf
Zr 91.22 Zr.upf
Pb 207.20 Pb.upf
O 16.00 O.upf
ATOMIC_POSITIONS crystal
Sr 0.239 0.041 0.249
Sr 0.239 0.459 0.749
Sr 0.761 0.541 0.251
Sr 0.761 0.959 0.751
Zr 0.500 0.000 0.000
Zr 0.500 0.500 0.500
Pb 0.000 0.000 0.500
Pb 0.000 0.500 0.000
O 0.167 0.203 0.955
O 0.167 0.297 0.455
O 0.250 0.714 0.952
O 0.250 0.786 0.452
O 0.342 0.028 0.755
O 0.342 0.472 0.255
O 0.658 0.528 0.745
O 0.658 0.972 0.245
O 0.750 0.214 0.548
O 0.750 0.286 0.048
O 0.833 0.703 0.545
O 0.833 0.797 0.045
CELL_PARAMETERS angstrom
5.887 0.000 0.000
0.000 5.987 0.000
-5.885 0.000 8.377



! NaErPdAu | the Alexandria database | PBE-GGA | relaxed; values from VASP
! Crystal system: cubic
! Energy (eV/atom): -4.151
! DOS at the Fermi energy (states/eV/cell): 8.3
! Symmetry: F-43m, No. 216
&SYSTEM
  ibrav = 0, nat = 16, ntyp = 4
/
ATOMIC_SPECIES
Na 22.99 Na.upf
Er 167.26 Er.upf
Pd 106.42 Pd.upf
Au 196.97 Au.upf
ATOMIC_POSITIONS crystal
Na 0.000 0.000 0.000
Na 0.000 0.500 0.500
Na 0.500 0.000 0.500
Na 0.500 0.500 0.000
Er 0.000 0.000 0.500
Er 0.000 0.500 0.000
Er 0.500 0.000 0.000
Er 0.500 0.500 0.500
Pd 0.250 0.250 0.250
Pd 0.250 0.750 0.750
Pd 0.750 0.250 0.750
Pd 0.750 0.750 0.250
Au 0.250 0.250 0.750
Au 0.250 0.750 0.250
Au 0.750 0.250 0.250
Au 0.750 0.750 0.750
CELL_PARAMETERS angstrom
6.919 0.000 0.000
0.000 6.919 0.000
0.000 0.000 6.919